Density functional theory data (PBE) for an optimized crystal structure of CsBaCd2Pt.

Properties
Energy of formation   -6.18 kcal/mol of atoms
Mass density   6.34 Mg/m³
E   -2.398 eV/atom

The structure in POSCAR format:
```
CsBaCd2Pt
1.0
5.531 0.000 0.000
0.000 5.531 0.000
0.000 0.000 5.905
Cs Ba Cd Pt
1 1 2 1
Cartesian
0.000 0.000 0.000 Cs
2.766 2.766 0.000 Ba
0.000 2.766 2.953 Cd
2.766 0.000 2.953 Cd
2.766 2.766 2.953 Pt
```


Density functional theory data (PBE) for an optimized crystal structure of CsBaCdS2.

Properties
Mass density   3.61 Mg/m³
E   -3.367 eV/atom

The structure in POSCAR format:
```
CsBaCdS2
1.0
7.980 0.000 0.000
0.000 5.676 0.000
-1.416 0.000 9.067
Cs Ba Cd S
2 2 2 4
Cartesian
-0.354 0.750 2.267 Cs
-1.062 4.926 6.800 Cs
2.928 2.793 6.800 Ba
3.636 2.883 2.267 Ba
3.990 0.000 0.000 Cd
3.282 0.000 4.533 Cd
0.788 1.739 8.803 S
1.496 3.937 4.269 S
5.067 1.739 4.797 S
5.775 3.937 0.264 S
```


Q: Which of these has the lowest mass density?
A: CsBaCdS2